# K6Br3OF2 PBE optimized geometry
# raw formation energy	-1837	meV per atom
# space-group type	No. 12
# DFT total energy	-42.35	eV per cell
data_K6Br3OF2
_chemical_formula_sum 'K6 Br3 O1 F2'
_cell_length_a 7.451
_cell_length_b 7.451
_cell_length_c 7.474
_cell_angle_alpha 99.56
_cell_angle_beta 99.56
_cell_angle_gamma 119.97
_space_group_name_H-M_alt 'P 1'
_space_group_IT_number 1
_space_group_name_Hall 'P 1'
loop_
_atom_site_label
_atom_site_fract_x
_atom_site_fract_y
_atom_site_fract_z
K1 0.091 0.432 0.796
K2 0.226 0.226 0.201
K3 0.432 0.091 0.796
K4 0.568 0.909 0.204
K5 0.774 0.774 0.799
K6 0.909 0.568 0.204
Br1 0.000 0.000 0.500
Br2 0.337 0.663 0.500
Br3 0.663 0.337 0.500
O1 0.500 0.500 0.000
F1 0.167 0.833 0.000
F2 0.833 0.167 0.000

# KBrOF2 PBE optimized geometry
# raw formation energy	-1031	meV per atom
# space-group type	No. 123
# DFT total energy	-16.63	eV per cell
data_KBrOF2
_chemical_formula_sum 'K1 Br1 O1 F2'
_cell_length_a 4.810
_cell_length_b 4.810
_cell_length_c 3.781
_cell_angle_alpha 90.00
_cell_angle_beta 90.00
_cell_angle_gamma 90.00
_space_group_name_H-M_alt 'P 1'
_space_group_IT_number 1
_space_group_name_Hall 'P 1'
loop_
_atom_site_label
_atom_site_fract_x
_atom_site_fract_y
_atom_site_fract_z
K1 0.000 0.000 0.000
Br1 0.500 0.500 0.500
O1 0.500 0.500 0.000
F1 0.000 0.500 0.500
F2 0.500 0.000 0.500

# K6Br2OF PBE optimized geometry
# raw formation energy	-1483	meV per atom
# space-group type	No. 164
# DFT total energy	-31.59	eV per cell
data_K6Br2OF
_chemical_formula_sum 'K6 Br2 O1 F1'
_cell_length_a 7.593
_cell_length_b 7.593
_cell_length_c 6.971
_cell_angle_alpha 90.00
_cell_angle_beta 90.00
_cell_angle_gamma 120.00
_space_group_name_H-M_alt 'P 1'
_space_group_IT_number 1
_space_group_name_Hall 'P 1'
loop_
_atom_site_label
_atom_site_fract_x
_atom_site_fract_y
_atom_site_fract_z
K1 0.152 0.305 0.229
K2 0.152 0.848 0.229
K3 0.305 0.152 0.771
K4 0.695 0.848 0.229
K5 0.848 0.152 0.771
K6 0.848 0.695 0.771
Br1 0.333 0.667 0.871
Br2 0.667 0.333 0.129
O1 0.000 0.000 0.000
F1 0.000 0.000 0.500

# K9Br3O2F PBE optimized geometry
# raw formation energy	-1437	meV per atom
# space-group type	No. 164
# DFT total energy	-48.23	eV per cell
data_K9Br3O2F
_chemical_formula_sum 'K9 Br3 O2 F1'
_cell_length_a 7.579
_cell_length_b 7.579
_cell_length_c 9.301
_cell_angle_alpha 90.00
_cell_angle_beta 90.00
_cell_angle_gamma 120.00
_space_group_name_H-M_alt 'P 1'
_space_group_IT_number 1
_space_group_name_Hall 'P 1'
loop_
_atom_site_label
_atom_site_fract_x
_atom_site_fract_y
_atom_site_fract_z
K1 0.000 0.500 0.000
K2 0.172 0.344 0.326
K3 0.172 0.828 0.326
K4 0.344 0.172 0.674
K5 0.500 0.000 0.000
K6 0.500 0.500 0.000
K7 0.656 0.828 0.326
K8 0.828 0.172 0.674
K9 0.828 0.656 0.674
Br1 0.000 0.000 0.000
Br2 0.333 0.667 0.653
Br3 0.667 0.333 0.347
O1 0.333 0.667 0.169
O2 0.667 0.333 0.831
F1 0.000 0.000 0.500

# K7BrO2F2 PBE optimized geometry
# raw formation energy	-1645	meV per atom
# space-group type	No. 12
# DFT total energy	-42.75	eV per cell
data_K7BrO2F2
_chemical_formula_sum 'K7 Br1 O2 F2'
_cell_length_a 5.259
_cell_length_b 5.259
_cell_length_c 12.921
_cell_angle_alpha 101.89
_cell_angle_beta 101.89
_cell_angle_gamma 88.16
_space_group_name_H-M_alt 'P 1'
_space_group_IT_number 1
_space_group_name_Hall 'P 1'
loop_
_atom_site_label
_atom_site_fract_x
_atom_site_fract_y
_atom_site_fract_z
K1 0.000 0.000 0.000
K2 0.152 0.615 0.214
K3 0.258 0.258 0.418
K4 0.385 0.848 0.786
K5 0.615 0.152 0.214
K6 0.742 0.742 0.582
K7 0.848 0.385 0.786
Br1 0.500 0.500 0.000
O1 0.106 0.106 0.215
O2 0.894 0.894 0.785
F1 0.421 0.421 0.624
F2 0.579 0.579 0.376

# K2OsBr4F2 PBE optimized geometry
# raw formation energy	-1340	meV per atom
# space-group type	No. 12
# DFT total energy	-35.92	eV per cell
data_K2OsBr4F2
_chemical_formula_sum 'K2 Os1 Br4 F2'
_cell_length_a 7.005
_cell_length_b 7.005
_cell_length_c 7.263
_cell_angle_alpha 120.53
_cell_angle_beta 120.53
_cell_angle_gamma 65.53
_space_group_name_H-M_alt 'P 1'
_space_group_IT_number 1
_space_group_name_Hall 'P 1'
loop_
_atom_site_label
_atom_site_fract_x
_atom_site_fract_y
_atom_site_fract_z
K1 0.247 0.247 0.194
K2 0.753 0.753 0.806
Os1 0.500 0.500 0.000
Br1 0.226 0.698 0.724
Br2 0.302 0.774 0.276
Br3 0.698 0.226 0.724
Br4 0.774 0.302 0.276
F1 0.299 0.299 0.867
F2 0.701 0.701 0.133

# K2PBrF6 PBE optimized geometry
# raw formation energy	-2544	meV per atom
# space-group type	No. 12
# DFT total energy	-45.94	eV per cell
data_K2PBrF6
_chemical_formula_sum 'K2 P1 Br1 F6'
_cell_length_a 5.598
_cell_length_b 5.598
_cell_length_c 7.877
_cell_angle_alpha 109.96
_cell_angle_beta 109.96
_cell_angle_gamma 55.62
_space_group_name_H-M_alt 'P 1'
_space_group_IT_number 1
_space_group_name_Hall 'P 1'
loop_
_atom_site_label
_atom_site_fract_x
_atom_site_fract_y
_atom_site_fract_z
K1 0.227 0.227 0.209
K2 0.773 0.773 0.791
P1 0.000 0.000 0.500
Br1 0.500 0.500 0.000
F1 0.110 0.110 0.719
F2 0.121 0.678 0.541
F3 0.322 0.879 0.459
F4 0.678 0.121 0.541
F5 0.879 0.322 0.459
F6 0.890 0.890 0.281

# KPb2BrF PBE optimized geometry
# raw formation energy	-847	meV per atom
# space-group type	No. 123
# DFT total energy	-16.30	eV per cell
data_KPb2BrF
_chemical_formula_sum 'K1 Pb2 Br1 F1'
_cell_length_a 4.920
_cell_length_b 4.920
_cell_length_c 8.064
_cell_angle_alpha 90.00
_cell_angle_beta 90.00
_cell_angle_gamma 90.00
_space_group_name_H-M_alt 'P 1'
_space_group_IT_number 1
_space_group_name_Hall 'P 1'
loop_
_atom_site_label
_atom_site_fract_x
_atom_site_fract_y
_atom_site_fract_z
K1 0.000 0.000 0.000
Pb1 0.000 0.500 0.500
Pb2 0.500 0.000 0.500
Br1 0.500 0.500 0.000
F1 0.000 0.000 0.500

# K2PbBrF PBE optimized geometry
# raw formation energy	-611	meV per atom
# space-group type	No. 123
# DFT total energy	-12.50	eV per cell
data_K2PbBrF
_chemical_formula_sum 'K2 Pb1 Br1 F1'
_cell_length_a 5.773
_cell_length_b 5.773
_cell_length_c 6.498
_cell_angle_alpha 90.00
_cell_angle_beta 90.00
_cell_angle_gamma 90.00
_space_group_name_H-M_alt 'P 1'
_space_group_IT_number 1
_space_group_name_Hall 'P 1'
loop_
_atom_site_label
_atom_site_fract_x
_atom_site_fract_y
_atom_site_fract_z
K1 0.000 0.500 0.000
K2 0.500 0.000 0.000
Pb1 0.000 0.000 0.500
Br1 0.500 0.500 0.000
F1 0.500 0.500 0.500

# K2PbBr2F2 PBE optimized geometry
# raw formation energy	-1982	meV per atom
# space-group type	No. 139
# DFT total energy	-26.87	eV per cell
data_K2PbBr2F2
_chemical_formula_sum 'K2 Pb1 Br2 F2'
_cell_length_a 9.456
_cell_length_b 9.456
_cell_length_c 9.456
_cell_angle_alpha 150.32
_cell_angle_beta 150.32
_cell_angle_gamma 42.47
_space_group_name_H-M_alt 'P 1'
_space_group_IT_number 1
_space_group_name_Hall 'P 1'
loop_
_atom_site_label
_atom_site_fract_x
_atom_site_fract_y
_atom_site_fract_z
K1 0.135 0.135 0.000
K2 0.865 0.865 0.000
Pb1 0.500 0.500 0.000
Br1 0.327 0.327 0.000
Br2 0.673 0.673 0.000
F1 0.000 0.500 0.500
F2 0.500 0.000 0.500

# KPbBr2F PBE optimized geometry
# raw formation energy	-1623	meV per atom
# space-group type	No. 123
# DFT total energy	-18.14	eV per cell
data_KPbBr2F
_chemical_formula_sum 'K1 Pb1 Br2 F1'
_cell_length_a 6.059
_cell_length_b 6.059
_cell_length_c 4.736
_cell_angle_alpha 90.00
_cell_angle_beta 90.00
_cell_angle_gamma 90.00
_space_group_name_H-M_alt 'P 1'
_space_group_IT_number 1
_space_group_name_Hall 'P 1'
loop_
_atom_site_label
_atom_site_fract_x
_atom_site_fract_y
_atom_site_fract_z
K1 0.000 0.000 0.000
Pb1 0.500 0.500 0.500
Br1 0.000 0.500 0.500
Br2 0.500 0.000 0.500
F1 0.500 0.500 0.000

# KPt2BrF PBE optimized geometry
# raw formation energy	-64	meV per atom
# space-group type	No. 123
# DFT total energy	-17.04	eV per cell
data_KPt2BrF
_chemical_formula_sum 'K1 Pt2 Br1 F1'
_cell_length_a 4.673
_cell_length_b 4.673
_cell_length_c 6.141
_cell_angle_alpha 90.00
_cell_angle_beta 90.00
_cell_angle_gamma 90.00
_space_group_name_H-M_alt 'P 1'
_space_group_IT_number 1
_space_group_name_Hall 'P 1'
loop_
_atom_site_label
_atom_site_fract_x
_atom_site_fract_y
_atom_site_fract_z
K1 0.000 0.000 0.000
Pt1 0.000 0.500 0.500
Pt2 0.500 0.000 0.500
Br1 0.500 0.500 0.500
F1 0.500 0.500 0.000

# K2PtBr2F4 PBE optimized geometry
# raw formation energy	-1721	meV per atom
# space-group type	No. 139
# DFT total energy	-34.56	eV per cell
data_K2PtBr2F4
_chemical_formula_sum 'K2 Pt1 Br2 F4'
_cell_length_a 6.450
_cell_length_b 6.450
_cell_length_c 6.450
_cell_angle_alpha 116.22
_cell_angle_beta 116.22
_cell_angle_gamma 96.68
_space_group_name_H-M_alt 'P 1'
_space_group_IT_number 1
_space_group_name_Hall 'P 1'
loop_
_atom_site_label
_atom_site_fract_x
_atom_site_fract_y
_atom_site_fract_z
K1 0.250 0.750 0.500
K2 0.750 0.250 0.500
Pt1 0.000 0.000 0.000
Br1 0.288 0.288 0.000
Br2 0.712 0.712 0.000
F1 0.207 0.207 0.413
F2 0.207 0.793 0.000
F3 0.793 0.207 0.000
F4 0.793 0.793 0.587

# KPuBr2F8 PBE optimized geometry
# raw formation energy	-2156	meV per atom
# space-group type	No. 164
# DFT total energy	-59.61	eV per cell
data_KPuBr2F8
_chemical_formula_sum 'K1 Pu1 Br2 F8'
_cell_length_a 6.761
_cell_length_b 6.761
_cell_length_c 7.255
_cell_angle_alpha 90.00
_cell_angle_beta 90.00
_cell_angle_gamma 120.00
_space_group_name_H-M_alt 'P 1'
_space_group_IT_number 1
_space_group_name_Hall 'P 1'
loop_
_atom_site_label
_atom_site_fract_x
_atom_site_fract_y
_atom_site_fract_z
K1 0.000 0.000 0.000
Pu1 0.000 0.000 0.500
Br1 0.333 0.667 0.352
Br2 0.667 0.333 0.648
F1 0.137 0.275 0.680
F2 0.137 0.863 0.680
F3 0.275 0.137 0.320
F4 0.333 0.667 0.103
F5 0.667 0.333 0.897
F6 0.725 0.863 0.680
F7 0.863 0.137 0.320
F8 0.863 0.725 0.320

# K2PuBr2F4 PBE optimized geometry
# raw formation energy	-2611	meV per atom
# space-group type	No. 139
# DFT total energy	-50.86	eV per cell
data_K2PuBr2F4
_chemical_formula_sum 'K2 Pu1 Br2 F4'
_cell_length_a 7.057
_cell_length_b 7.057
_cell_length_c 7.057
_cell_angle_alpha 121.71
_cell_angle_beta 121.71
_cell_angle_gamma 87.07
_space_group_name_H-M_alt 'P 1'
_space_group_IT_number 1
_space_group_name_Hall 'P 1'
loop_
_atom_site_label
_atom_site_fract_x
_atom_site_fract_y
_atom_site_fract_z
K1 0.250 0.750 0.500
K2 0.750 0.250 0.500
Pu1 0.000 0.000 0.000
Br1 0.277 0.277 0.000
Br2 0.723 0.723 0.000
F1 0.217 0.217 0.434
F2 0.217 0.783 0.000
F3 0.783 0.217 0.000
F4 0.783 0.783 0.566

# KRb2Br6F PBE optimized geometry
# raw formation energy	-759	meV per atom
# space-group type	No. 139
# DFT total energy	-22.54	eV per cell
data_KRb2Br6F
_chemical_formula_sum 'K1 Rb2 Br6 F1'
_cell_length_a 8.554
_cell_length_b 8.554
_cell_length_c 8.554
_cell_angle_alpha 126.68
_cell_angle_beta 126.68
_cell_angle_gamma 78.77
_space_group_name_H-M_alt 'P 1'
_space_group_IT_number 1
_space_group_name_Hall 'P 1'
loop_
_atom_site_label
_atom_site_fract_x
_atom_site_fract_y
_atom_site_fract_z
K1 0.000 0.000 0.000
Rb1 0.250 0.750 0.500
Rb2 0.750 0.250 0.500
Br1 0.234 0.234 0.000
Br2 0.284 0.284 0.568
Br3 0.284 0.716 0.000
Br4 0.716 0.284 0.000
Br5 0.716 0.716 0.432
Br6 0.766 0.766 0.000
F1 0.500 0.500 0.000

# KRbBrF6 PBE optimized geometry
# raw formation energy	-1699	meV per atom
# space-group type	No. 149
# DFT total energy	-30.25	eV per cell
data_KRbBrF6
_chemical_formula_sum 'K1 Rb1 Br1 F6'
_cell_length_a 6.688
_cell_length_b 6.688
_cell_length_c 4.744
_cell_angle_alpha 90.00
_cell_angle_beta 90.00
_cell_angle_gamma 120.00
_space_group_name_H-M_alt 'P 1'
_space_group_IT_number 1
_space_group_name_Hall 'P 1'
loop_
_atom_site_label
_atom_site_fract_x
_atom_site_fract_y
_atom_site_fract_z
K1 0.000 0.000 0.000
Rb1 0.667 0.333 0.500
Br1 0.333 0.667 0.000
F1 0.061 0.396 0.195
F2 0.061 0.665 0.805
F3 0.335 0.396 0.805
F4 0.335 0.939 0.195
F5 0.604 0.665 0.195
F6 0.604 0.939 0.805

# K4Rb2Br3F2 PBE optimized geometry
# raw formation energy	-1874	meV per atom
# space-group type	No. 139
# DFT total energy	-35.70	eV per cell
data_K4Rb2Br3F2
_chemical_formula_sum 'K4 Rb2 Br3 F2'
_cell_length_a 15.843
_cell_length_b 15.843
_cell_length_c 15.843
_cell_angle_alpha 161.09
_cell_angle_beta 161.09
_cell_angle_gamma 26.87
_space_group_name_H-M_alt 'P 1'
_space_group_IT_number 1
_space_group_name_Hall 'P 1'
loop_
_atom_site_label
_atom_site_fract_x
_atom_site_fract_y
_atom_site_fract_z
K1 0.075 0.575 0.500
K2 0.425 0.925 0.500
K3 0.575 0.075 0.500
K4 0.925 0.425 0.500
Rb1 0.184 0.184 0.000
Rb2 0.816 0.816 0.000
Br1 0.358 0.358 0.000
Br2 0.500 0.500 0.000
Br3 0.642 0.642 0.000
F1 0.087 0.087 0.000
F2 0.913 0.913 0.000

# KRb2BrF PBE optimized geometry
# raw formation energy	-1575	meV per atom
# space-group type	No. 123
# DFT total energy	-14.45	eV per cell
data_KRb2BrF
_chemical_formula_sum 'K1 Rb2 Br1 F1'
_cell_length_a 5.964
_cell_length_b 5.964
_cell_length_c 5.366
_cell_angle_alpha 90.00
_cell_angle_beta 90.00
_cell_angle_gamma 90.00
_space_group_name_H-M_alt 'P 1'
_space_group_IT_number 1
_space_group_name_Hall 'P 1'
loop_
_atom_site_label
_atom_site_fract_x
_atom_site_fract_y
_atom_site_fract_z
K1 0.000 0.000 0.000
Rb1 0.000 0.500 0.500
Rb2 0.500 0.000 0.500
Br1 0.500 0.500 0.000
F1 0.000 0.000 0.500

# K2ReBr4F2 PBE optimized geometry
# raw formation energy	-1459	meV per atom
# space-group type	No. 12
# DFT total energy	-38.21	eV per cell
data_K2ReBr4F2
_chemical_formula_sum 'K2 Re1 Br4 F2'
_cell_length_a 7.090
_cell_length_b 7.090
_cell_length_c 7.187
_cell_angle_alpha 120.04
_cell_angle_beta 120.04
_cell_angle_gamma 63.61
_space_group_name_H-M_alt 'P 1'
_space_group_IT_number 1
_space_group_name_Hall 'P 1'
loop_
_atom_site_label
_atom_site_fract_x
_atom_site_fract_y
_atom_site_fract_z
K1 0.247 0.247 0.192
K2 0.753 0.753 0.808
Re1 0.500 0.500 0.000
Br1 0.218 0.699 0.717
Br2 0.301 0.782 0.283
Br3 0.699 0.218 0.717
Br4 0.782 0.301 0.283
F1 0.304 0.304 0.882
F2 0.696 0.696 0.118